Here is crystalline Ti6Nb2Pd at its relaxed geometry from Alexandria via LeMat-Bulk. Energies are from PBE-GGA.

abc: 5.3658 7.0759 9.1505
angles: 108.28 90.92 110.54
Last column: nearest neighbours and their distance in Å.
Space group P-1 (No. 2)
One atom of each set of equivalent atoms:
Ti 0.0647 0.2151 0.2970  2 Nb 2.72-2.83, 5 Ti 2.80-2.90, 1 Pd 2.82
Ti 0.1606 0.6527 0.9126  1 Pd 2.76, 2 Nb 2.78-2.82, 5 Ti 2.80-2.86
Ti 0.1612 0.6624 0.4190  2 Pd 2.70-2.75, 1 Nb 2.78, 5 Ti 2.84-2.90
Ti 0.2731 0.1106 0.5336  3 Nb 2.73-2.86, 4 Ti 2.75-2.84, 1 Pd 2.80
Ti 0.2757 0.0988 0.0131  3 Nb 2.73-2.87, 6 Ti 2.76-3.06
Ti 0.4042 0.5581 0.1450  1 Pd 2.72, 2 Nb 2.81-2.83, 5 Ti 2.82-2.90
Nb 0.0323 0.2120 0.8032  1 Nb 2.67, 7 Ti 2.72-2.83
Nb 0.4998 0.0009 0.7469  1 Nb 2.67, 6 Ti 2.73-2.87, 1 Pd 2.84
Pd 0.3758 0.5518 0.6398  6 Ti 2.70-2.82, 1 Nb 2.84, 1 Pd 2.91

=====

Here is crystalline TiNb2Pd6 at its relaxed geometry from Alexandria via LeMat-Bulk. Energies are from PBE-GGA.

abc: 7.5904 13.8158 2.7821
angles: 90.00 90.00 90.00
Last column: nearest neighbours and their distance in Å.
Space group Cmmm (No. 65)
One atom of each set of equivalent atoms:
Ti 0.0000 0.0000 0.0000  8 Pd 2.59-2.79, 2 Ti 2.78
Nb 0.0000 0.3161 0.5000  2 Nb 2.78, 10 Pd 2.82-2.91
Pd 0.1797 0.1594 0.0000  1 Ti 2.59, 6 Pd 2.72-2.81, 2 Nb 2.82
Pd 0.1814 0.5000 0.5000  7 Pd 2.75-2.81, 2 Ti 2.79, 2 Nb 2.89

=====

Here is crystalline TiNbPd at its relaxed geometry from Alexandria via LeMat-Bulk. Energies are from PBE-GGA.

abc: 4.4632 4.4632 5.6994
angles: 90.00 90.00 120.00
Last column: nearest neighbours and their distance in Å.
Space group P-3m1 (No. 164)
One atom of each set of equivalent atoms:
Ti 0.0000 0.0000 0.2446  3 Pd 2.71, 3 Nb 2.74, 2 Ti 2.79-2.91
Nb 0.3333 0.6667 0.5943  3 Ti 2.74, 3 Nb 2.79, 2 Pd 2.82-2.88
Pd 0.3333 0.6667 0.0994  3 Ti 2.71, 3 Pd 2.81, 2 Nb 2.82-2.88

Output
- E above lowest polymorph (meV/atom) = 47

=====

Here is crystalline TiNb2Pd8 at its relaxed geometry from Alexandria via LeMat-Bulk. Energies are from PBE-GGA.

abc: 14.2291 3.9865 6.4391
angles: 90.00 108.00 90.00
Last column: nearest neighbours and their distance in Å.
Space group C2/m (No. 12)
One atom of each set of equivalent atoms:
Ti 0.0000 0.0000 0.0000  12 Pd 2.78-2.82
Nb 0.2196 0.5000 0.6548  10 Pd 2.71-2.86
Pd 0.0417 0.5000 0.7339  1 Nb 2.73, 9 Pd 2.78-2.99, 2 Ti 2.81
Pd 0.0981 0.0000 0.4465  3 Nb 2.71-2.86, 7 Pd 2.78-2.99, 1 Ti 2.78
Pd 0.1410 0.5000 0.1884  3 Nb 2.77-2.86, 7 Pd 2.78-2.84, 2 Ti 2.82
Pd 0.1791 0.0000 0.9105  3 Nb 2.72-2.76, 8 Pd 2.78-2.85, 1 Ti 2.78

=====

Here is crystalline TiNbPd at its relaxed geometry from Alexandria via LeMat-Bulk. Energies are from PBE-GGA.

abc: 4.5800 4.5800 2.7549
angles: 90.00 90.00 120.00
Last column: nearest neighbours and their distance in Å.
Space group P3m1 (No. 156)
One atom of each set of equivalent atoms:
Ti 0.0000 0.0000 0.0000  2 Ti 2.75, 3 Pd 2.77, 3 Nb 2.82
Nb 0.3333 0.6667 0.3570  2 Nb 2.75, 3 Pd 2.81, 3 Ti 2.82
Pd 0.6667 0.3333 0.6977  2 Pd 2.75, 3 Ti 2.77, 3 Nb 2.81

Output
- E above lowest polymorph (meV/atom) = 304

=====

Here is crystalline Ti4NbPd2 at its relaxed geometry from Alexandria via LeMat-Bulk. Energies are from PBE-GGA.

abc: 8.2926 9.6212 3.0670
angles: 90.00 90.00 90.00
Last column: nearest neighbours and their distance in Å.
Space group Cmmm (No. 65)
One atom of each set of equivalent atoms:
Ti 0.2091 0.0000 0.0000  2 Nb 2.86, 6 Ti 2.87-3.07, 2 Pd 2.91
Ti 0.2500 0.2500 0.5000  4 Pd 2.58, 4 Ti 2.87
Nb 0.0000 0.5000 0.5000  8 Ti 2.86-3.18, 4 Pd 2.91, 2 Nb 3.07
Pd 0.0000 0.2431 0.0000  4 Ti 2.58

=====

Here is crystalline Ti2NbPd at its relaxed geometry from Alexandria via LeMat-Bulk. Energies are from PBE-GGA.

abc: 3.2081 3.2081 6.4540
angles: 90.00 90.00 90.00
Last column: nearest neighbours and their distance in Å.
Space group P4/mmm (No. 123)
One atom of each set of equivalent atoms:
Ti 0.0000 0.0000 0.2496  4 Nb 2.78, 4 Pd 2.79
Nb 0.5000 0.5000 0.0000  8 Ti 2.78
Pd 0.5000 0.5000 0.5000  8 Ti 2.79

Output
- E above lowest polymorph (meV/atom) = 0

=====

Here is crystalline Ti2NbPd at its relaxed geometry from Alexandria via LeMat-Bulk. Energies are from PBE-GGA.

abc: 3.8498 3.8498 19.1721
angles: 90.00 90.00 90.00
Last column: nearest neighbours and their distance in Å.
Space group I-42d (No. 122)
One atom of each set of equivalent atoms:
Ti 0.2468 0.2500 0.1250  4 Ti 2.70-2.74, 2 Nb 2.75, 2 Pd 2.76
Nb 0.0000 0.0000 0.0000  4 Pd 2.72, 4 Ti 2.75
Pd 0.0000 0.0000 0.5000  4 Nb 2.72, 4 Ti 2.76

Output
- E above lowest polymorph (meV/atom) = 591

=====

Here is crystalline TiNbPd2 at its relaxed geometry from Alexandria via LeMat-Bulk. Energies are from PBE-GGA.

abc: 2.8258 2.8258 8.0295
angles: 90.00 90.00 90.00
Last column: nearest neighbours and their distance in Å.
Space group P4/mmm (No. 123)
One atom of each set of equivalent atoms:
Ti 0.0000 0.0000 0.0000  8 Pd 2.78, 4 Ti 2.83
Nb 0.0000 0.0000 0.5000  4 Nb 2.83, 8 Pd 2.89
Pd 0.5000 0.5000 0.2405  4 Ti 2.78, 4 Pd 2.83, 4 Nb 2.89

=====

Here is crystalline Ti5Nb2Pd12 at its relaxed geometry from Alexandria via LeMat-Bulk. Energies are from PBE-GGA.

abc: 14.9923 5.3503 8.6964
angles: 90.00 108.78 90.00
Last column: nearest neighbours and their distance in Å.
Space group C2/m (No. 12)
One atom of each set of equivalent atoms:
Ti 0.0000 0.0000 0.0000  6 Pd 2.65
Ti 0.1429 0.5000 0.3513  5 Pd 2.40-2.65
Ti 0.1797 0.5000 0.8495  7 Pd 2.52-2.65
Nb 0.0000 0.2574 0.5000  2 Nb 2.60-2.75, 4 Pd 2.75-2.85
Pd 0.0113 0.5000 0.8477  2 Ti 2.40-2.52
Pd 0.0966 0.0000 0.7933  3 Ti 2.65-2.93, 4 Pd 2.85-2.86, 2 Nb 2.85
Pd 0.1609 0.2502 0.1004  4 Ti 2.65, 5 Pd 2.67-2.91
Pd 0.1939 0.2463 0.6043  3 Ti 2.49-2.70, 3 Pd 2.64-2.78, 1 Nb 2.75

=====

Here is crystalline Ti4NbPd7 at its relaxed geometry from Alexandria via LeMat-Bulk. Energies are from PBE-GGA.

abc: 10.4674 4.8023 9.3340
angles: 90.00 119.67 90.00
Last column: nearest neighbours and their distance in Å.
Space group C2/m (No. 12)
One atom of each set of equivalent atoms:
Ti 0.0899 0.0000 0.2737  8 Pd 2.49-2.78
Ti 0.2408 0.0000 0.8286  5 Pd 2.53-2.69
Nb 0.0000 0.5000 0.5000  2 Pd 2.40
Pd 0.0000 0.0000 0.5000  2 Nb 2.40, 2 Pd 2.68
Pd 0.0600 0.5000 0.8480  3 Ti 2.69-2.78, 4 Pd 2.70-2.87, 1 Nb 2.99
Pd 0.1446 0.0000 0.0426  5 Ti 2.49-2.75, 2 Pd 2.72-2.74
Pd 0.2146 0.5000 0.4138  4 Ti 2.53-2.74, 4 Pd 2.68-2.78, 1 Nb 2.74

=====

Here is crystalline Ti2Nb2Pd7 at its relaxed geometry from Alexandria via LeMat-Bulk. Energies are from PBE-GGA.

abc: 9.6630 7.9566 4.8972
angles: 90.00 99.18 90.00
Last column: nearest neighbours and their distance in Å.
Space group C2/m (No. 12)
One atom of each set of equivalent atoms:
Ti 0.2351 0.0000 0.2436  4 Pd 2.55-2.77
Nb 0.0000 0.3128 0.5000  8 Pd 2.67-2.96, 1 Nb 2.98
Pd 0.0000 0.5000 0.0000  4 Pd 2.71, 4 Nb 2.87, 2 Ti 2.99
Pd 0.0381 0.0000 0.7650  4 Pd 2.53-2.71, 2 Ti 2.63-2.77, 2 Nb 2.80
Pd 0.2238 0.3202 0.2431  1 Ti 2.55, 1 Nb 2.67, 4 Pd 2.71-2.75

=====

Here is crystalline Ti3NbPd12 at its relaxed geometry from Alexandria via LeMat-Bulk. Energies are from PBE-GGA.

abc: 3.9409 3.9409 15.7781
angles: 90.00 90.00 90.00
Last column: nearest neighbours and their distance in Å.
Space group P4/mmm (No. 123)
One atom of each set of equivalent atoms:
Ti 0.0000 0.0000 0.0000  12 Pd 2.78-2.79
Ti 0.0000 0.0000 0.2462  12 Pd 2.75-2.81
Nb 0.0000 0.0000 0.5000  12 Pd 2.79-2.81
Pd 0.0000 0.5000 0.1243  4 Ti 2.75-2.78, 8 Pd 2.78-2.79
Pd 0.0000 0.5000 0.3734  8 Pd 2.78-2.81, 2 Nb 2.81, 2 Ti 2.81
Pd 0.5000 0.5000 0.0000  8 Pd 2.78, 4 Ti 2.79
Pd 0.5000 0.5000 0.2491  8 Pd 2.78-2.79, 4 Ti 2.79
Pd 0.5000 0.5000 0.5000  4 Nb 2.79, 8 Pd 2.81

=====

Here is crystalline Ti5Nb2Pd at its relaxed geometry from Alexandria via LeMat-Bulk. Energies are from PBE-GGA.

abc: 6.4637 6.4637 6.4503
angles: 90.00 90.00 90.00
Last column: nearest neighbours and their distance in Å.
Space group I4/mmm (No. 139)
One atom of each set of equivalent atoms:
Ti 0.0000 0.0000 0.0000  8 Ti 2.80
Ti 0.2500 0.2500 0.2500  4 Nb 2.80, 2 Pd 2.80, 2 Ti 2.80
Nb 0.0000 0.5000 0.0000  8 Ti 2.80
Pd 0.0000 0.0000 0.5000  8 Ti 2.80

=====

Here is crystalline Ti3Nb2Pd at its relaxed geometry from Alexandria via LeMat-Bulk. Energies are from PBE-GGA.

abc: 3.2240 3.2240 9.7509
angles: 90.00 90.00 90.00
Last column: nearest neighbours and their distance in Å.
Space group P4/mmm (No. 123)
One atom of each set of equivalent atoms:
Ti 0.0000 0.0000 0.0000  8 Nb 2.81
Ti 0.0000 0.0000 0.3364  4 Pd 2.78, 4 Nb 2.80
Nb 0.5000 0.5000 0.1691  8 Ti 2.80-2.81
Pd 0.5000 0.5000 0.5000  8 Ti 2.78

=====

Here is crystalline Ti4Nb2Pd at its relaxed geometry from Alexandria via LeMat-Bulk. Energies are from PBE-GGA.

abc: 4.4989 4.4989 12.7623
angles: 90.00 90.00 90.00
Last column: nearest neighbours and their distance in Å.
Space group I4/mmm (No. 139)
One atom of each set of equivalent atoms:
Ti 0.0000 0.5000 0.1228  4 Nb 2.74-2.81, 2 Pd 2.74
Nb 0.0000 0.0000 0.2455  8 Ti 2.74-2.81
Pd 0.0000 0.0000 0.0000  8 Ti 2.74

=====

Here is crystalline Ti2NbPd3 at its relaxed geometry from Alexandria via LeMat-Bulk. Energies are from PBE-GGA.

abc: 4.7453 14.4672 2.8374
angles: 90.00 90.00 90.00
Last column: nearest neighbours and their distance in Å.
Space group Cmmm (No. 65)
One atom of each set of equivalent atoms:
Ti 0.0000 0.1591 0.0000  8 Pd 2.70-2.78, 2 Ti 2.84
Nb 0.0000 0.5000 0.0000  8 Pd 2.76-2.99, 2 Nb 2.84
Pd 0.0000 0.0000 0.5000  4 Ti 2.70, 4 Nb 2.76, 2 Pd 2.84
Pd 0.0000 0.3183 0.5000  6 Ti 2.71-2.78, 2 Pd 2.84, 2 Nb 2.99

=====

Here is crystalline Ti2NbPd4 at its relaxed geometry from Alexandria via LeMat-Bulk. Energies are from PBE-GGA.

abc: 4.4597 4.4597 19.6235
angles: 90.00 90.00 120.00
Last column: nearest neighbours and their distance in Å.
Space group R-3m (No. 166, hexagonal axes)
One atom of each set of equivalent atoms:
Ti 0.0000 0.0000 0.2262  5 Pd 2.60-2.73, 3 Nb 2.83
Nb 0.0000 0.0000 0.5000  8 Pd 2.72-3.01, 6 Ti 2.83
Pd 0.0000 0.0000 0.0871  4 Ti 2.60-2.73, 3 Pd 2.82
Pd 0.0000 0.0000 0.3612  1 Ti 2.65, 1 Nb 2.72, 6 Pd 2.80-2.82

=====

Here is crystalline TiNbPd2 at its relaxed geometry from Alexandria via LeMat-Bulk. Energies are from PBE-GGA.

abc: 3.9591 3.9591 4.0855
angles: 90.00 90.00 90.00
Last column: nearest neighbours and their distance in Å.
Space group P4/mmm (No. 123)
One atom of each set of equivalent atoms:
Ti 0.0000 0.0000 0.0000  4 Nb 2.80, 8 Pd 2.84
Nb 0.5000 0.5000 0.0000  4 Ti 2.80, 8 Pd 2.84
Pd 0.0000 0.5000 0.5000  4 Pd 2.80, 4 Nb 2.84, 4 Ti 2.84

=====

Here is crystalline Ti2NbPd9 at its relaxed geometry from Alexandria via LeMat-Bulk. Energies are from PBE-GGA.

abc: 3.9476 3.9476 11.8395
angles: 90.00 90.00 90.00
Last column: nearest neighbours and their distance in Å.
Space group P4/mmm (No. 123)
One atom of each set of equivalent atoms:
Ti 0.0000 0.0000 0.1629  12 Pd 2.76-2.81
Nb 0.0000 0.0000 0.5000  12 Pd 2.79-2.80
Pd 0.0000 0.5000 0.0000  4 Ti 2.76, 8 Pd 2.79
Pd 0.0000 0.5000 0.3317  8 Pd 2.78-2.80, 2 Nb 2.80, 2 Ti 2.81
Pd 0.5000 0.5000 0.1662  8 Pd 2.78-2.79, 4 Ti 2.79
Pd 0.5000 0.5000 0.5000  4 Nb 2.79, 8 Pd 2.80

=====

no.,ΔE_f (meV per atom),D(E_F) (states/eV per cell)
1,-104,27.1
2,-326,12.9
3,-313,5.6
4,-423,13.5
5,-56,5.9
6,-95,20.3
7,-341,2.8
8,250,26.0
9,-414,4.7
10,-270,29.4
11,-248,20.9
12,-234,15.6
13,-544,11.2
14,-116,27.7
15,-200,8.5
16,10,19.0
17,-371,16.0
18,-352,18.6
19,-390,4.3
20,-515,9.8